1.
Below is LaPrNdMg after structural relaxation, with properties calculated at the PBE level.

Results
Density of states at the Fermi level = 1.50 states/eV per atom
ΔE to the lowest computed polymorph = 0.083 eV/atom
Crystal system = cubic
Formation energy = 0.156 eV per formula unit
E_tot = -15.91 eV for the cell shown

The structure in POSCAR format:
```
LaPrNdMg
1.0
0.000 4.051 4.051
4.051 0.000 4.051
4.051 4.051 0.000
La Pr Nd Mg
1 1 1 1
direct
0.000 0.000 0.000 La
0.500 0.500 0.500 Pr
0.750 0.750 0.750 Nd
0.250 0.250 0.250 Mg
```



2.
Below is La5PrNd2Mg after structural relaxation, with properties calculated at the PBE level.

Results
Density of states at the Fermi level = 1.32 states/eV per atom
Crystal system = tetragonal
Formation energy = 1.864 eV per formula unit
E_tot = -77.37 eV for the cell shown

The structure in POSCAR format:
```
La5PrNd2Mg
1.0
8.484 0.000 0.000
0.000 8.484 0.000
0.000 0.000 8.974
La Pr Nd Mg
10 2 4 2
direct
0.000 0.000 0.000 La
0.222 0.278 0.282 La
0.222 0.278 0.718 La
0.278 0.778 0.282 La
0.278 0.778 0.718 La
0.500 0.500 0.000 La
0.722 0.222 0.282 La
0.722 0.222 0.718 La
0.778 0.722 0.282 La
0.778 0.722 0.718 La
0.000 0.000 0.500 Pr
0.500 0.500 0.500 Pr
0.125 0.625 0.000 Nd
0.375 0.125 0.000 Nd
0.625 0.875 0.000 Nd
0.875 0.375 0.000 Nd
0.000 0.500 0.500 Mg
0.500 0.000 0.500 Mg
```



3.
Below is La2Pr3Nd6Mg after structural relaxation, with properties calculated at the PBE level.

Results
Density of states at the Fermi level = 1.49 states/eV per atom
Crystal system = monoclinic
Formation energy = 0.149 eV per formula unit
E_tot = -54.25 eV for the cell shown

The structure in POSCAR format:
```
La2Pr3Nd6Mg
1.0
3.173 -5.500 0.000
3.173 5.500 0.000
-2.149 0.000 11.966
La Pr Nd Mg
2 3 6 1
direct
0.168 0.832 0.000 La
0.832 0.168 0.000 La
0.000 0.000 0.500 Pr
0.333 0.667 0.500 Pr
0.667 0.333 0.500 Pr
0.089 0.419 0.752 Nd
0.252 0.252 0.250 Nd
0.419 0.089 0.752 Nd
0.581 0.911 0.248 Nd
0.748 0.748 0.750 Nd
0.911 0.581 0.248 Nd
0.500 0.500 0.000 Mg
```



4.
Below is LaPr5Nd2Mg after structural relaxation, with properties calculated at the PBE level.

Results
Density of states at the Fermi level = 1.58 states/eV per atom
Crystal system = orthorhombic
Formation energy = 0.693 eV per formula unit
E_tot = -78.52 eV for the cell shown

The structure in POSCAR format:
```
LaPr5Nd2Mg
1.0
2.837 -10.185 0.000
2.837 10.185 0.000
0.000 0.000 11.018
La Pr Nd Mg
2 10 4 2
direct
0.199 0.801 0.500 La
0.801 0.199 0.000 La
0.013 0.987 0.500 Pr
0.288 0.712 0.800 Pr
0.289 0.711 0.200 Pr
0.382 0.618 0.500 Pr
0.500 0.500 0.249 Pr
0.500 0.500 0.749 Pr
0.618 0.382 0.000 Pr
0.711 0.289 0.700 Pr
0.712 0.288 0.300 Pr
0.987 0.013 0.000 Pr
0.115 0.885 0.210 Nd
0.115 0.885 0.790 Nd
0.885 0.115 0.290 Nd
0.885 0.115 0.710 Nd
0.406 0.594 0.998 Mg
0.594 0.406 0.498 Mg
```



5.
Below is LaPr2Nd6Mg after structural relaxation, with properties calculated at the PBE level.

Results
Density of states at the Fermi level = 1.39 states/eV per atom
Crystal system = monoclinic
Formation energy = 0.948 eV per formula unit
E_tot = -87.48 eV for the cell shown

The structure in POSCAR format:
```
LaPr2Nd6Mg
1.0
5.231 -6.976 0.000
5.231 6.976 0.000
-1.893 0.000 9.533
La Pr Nd Mg
2 4 12 2
direct
0.065 0.935 0.750 La
0.935 0.065 0.250 La
0.207 0.268 0.591 Pr
0.268 0.207 0.091 Pr
0.732 0.793 0.909 Pr
0.793 0.732 0.409 Pr
0.030 0.464 0.328 Nd
0.080 0.730 0.075 Nd
0.270 0.920 0.425 Nd
0.330 0.567 0.905 Nd
0.433 0.670 0.595 Nd
0.464 0.030 0.828 Nd
0.536 0.970 0.172 Nd
0.567 0.330 0.405 Nd
0.670 0.433 0.095 Nd
0.730 0.080 0.575 Nd
0.920 0.270 0.925 Nd
0.970 0.536 0.672 Nd
0.399 0.601 0.250 Mg
0.601 0.399 0.750 Mg
```



6.
Below is La2PrNd5Mg after structural relaxation, with properties calculated at the PBE level.

Results
Density of states at the Fermi level = 1.54 states/eV per atom
Crystal system = orthorhombic
Formation energy = 0.705 eV per formula unit
E_tot = -78.73 eV for the cell shown

The structure in POSCAR format:
```
La2PrNd5Mg
1.0
2.842 -10.185 0.000
2.842 10.185 0.000
0.000 0.000 10.929
La Pr Nd Mg
4 2 10 2
direct
0.116 0.884 0.500 La
0.116 0.884 0.915 La
0.884 0.116 0.000 La
0.884 0.116 0.415 La
0.201 0.799 0.207 Pr
0.799 0.201 0.707 Pr
0.014 0.986 0.207 Nd
0.288 0.712 0.510 Nd
0.288 0.712 0.905 Nd
0.383 0.617 0.207 Nd
0.500 0.500 0.457 Nd
0.500 0.500 0.957 Nd
0.617 0.383 0.707 Nd
0.712 0.288 0.010 Nd
0.712 0.288 0.405 Nd
0.986 0.014 0.707 Nd
0.406 0.594 0.707 Mg
0.594 0.406 0.207 Mg
```



7.
Below is La6PrNd2Mg after structural relaxation, with properties calculated at the PBE level.

Results
Density of states at the Fermi level = 1.59 states/eV per atom
Crystal system = monoclinic
Formation energy = 0.779 eV per formula unit
E_tot = -89.39 eV for the cell shown

The structure in POSCAR format:
```
La6PrNd2Mg
1.0
5.367 -6.952 0.000
5.367 6.952 0.000
-1.652 0.000 9.496
La Pr Nd Mg
12 2 4 2
direct
0.042 0.466 0.673 La
0.065 0.825 0.902 La
0.175 0.935 0.598 La
0.235 0.580 0.079 La
0.420 0.765 0.421 La
0.466 0.042 0.173 La
0.534 0.958 0.827 La
0.580 0.235 0.579 La
0.765 0.420 0.921 La
0.825 0.065 0.402 La
0.935 0.175 0.098 La
0.958 0.534 0.327 La
0.431 0.569 0.750 Pr
0.569 0.431 0.250 Pr
0.235 0.298 0.406 Nd
0.298 0.235 0.906 Nd
0.702 0.765 0.094 Nd
0.765 0.702 0.594 Nd
0.098 0.902 0.250 Mg
0.902 0.098 0.750 Mg
```



8.
Below is LaPrNd2Mg after structural relaxation, with properties calculated at the PBE level.

Results
Density of states at the Fermi level = 1.41 states/eV per atom
Crystal system = orthorhombic
Formation energy = 0.658 eV per formula unit
E_tot = -40.36 eV for the cell shown

The structure in POSCAR format:
```
LaPrNd2Mg
1.0
6.185 0.000 0.000
0.000 7.826 0.000
0.000 0.000 7.035
La Pr Nd Mg
2 2 4 2
direct
0.250 0.000 0.091 La
0.750 0.000 0.909 La
0.250 0.500 0.331 Pr
0.750 0.500 0.669 Pr
0.250 0.286 0.795 Nd
0.250 0.714 0.795 Nd
0.750 0.286 0.205 Nd
0.750 0.714 0.205 Nd
0.000 0.000 0.500 Mg
0.500 0.000 0.500 Mg
```